No. 1
# PBE Ac2SnRu, optimized geometry
# Space-group type: P4/mmm
# DFT formation energy (eV per atom): -0.27
data_Ac2SnRu
_chemical_formula_sum 'Ac2 Sn1 Ru1'
_space_group_name_H-M_alt 'P 1'
_space_group_IT_number 1
_space_group_name_Hall 'P 1'
_cell_length_a 3.6554
_cell_length_b 3.6554
_cell_length_c 8.8453
_cell_angle_alpha 90.00
_cell_angle_beta 90.00
_cell_angle_gamma 90.00
loop_
_atom_site_label
_atom_site_type_symbol
_atom_site_fract_x
_atom_site_fract_y
_atom_site_fract_z
Sn1 Sn 0.5000 0.5000 0.5000
Ac1 Ac 0.0000 0.0000 0.2103
Ac2 Ac 0.0000 0.0000 0.7897
Ru1 Ru 0.5000 0.5000 0.0000


No. 2
# PBE CdH3Cl, optimized geometry
# Space-group type: Pm-3m
# E above lowest polymorph (meV/atom): 0
data_CdH3Cl
_chemical_formula_sum 'Cd1 H3 Cl1'
_space_group_name_H-M_alt 'P 1'
_space_group_IT_number 1
_space_group_name_Hall 'P 1'
_cell_length_a 3.8781
_cell_length_b 3.8781
_cell_length_c 3.8781
_cell_angle_alpha 90.00
_cell_angle_beta 90.00
_cell_angle_gamma 90.00
loop_
_atom_site_label
_atom_site_type_symbol
_atom_site_fract_x
_atom_site_fract_y
_atom_site_fract_z
Cd1 Cd 0.0000 0.0000 0.0000
Cl1 Cl 0.5000 0.5000 0.5000
H1 H 0.0000 0.0000 0.5000
H2 H 0.0000 0.5000 0.0000
H3 H 0.5000 0.0000 0.0000